No. 1
Below is a geometry-optimized TaCuSnRu structure, with properties calculated at the PBE-GGA level.

```
TaCuSnRu
1.0
4.503 0.000 0.000
2.252 3.900 0.000
2.252 1.300 3.677
Ru Sn Cu Ta
1 1 1 1
direct
0.250 0.250 0.250
0.500 0.500 0.500
0.750 0.750 0.750
0.000 0.000 0.000
```

Density of states at the Fermi level   0.09 states/eV per cell
DFT formation energy   -0.087 eV/atom
Size of the total moment   0.000 μB per cell
Electronic total energy   -7.39 eV per atom

***

No. 2
Below is a geometry-optimized ThCuSnRu structure, with properties calculated at the PBE-GGA level.

```
ThCuSnRu
1.0
-2.501 -2.220 -3.500
-3.522 -3.117 1.146
-4.628 1.180 -0.788
Ru Cu Sn Th
1 1 1 1
direct
0.750 0.750 0.750
0.250 0.250 0.250
0.500 0.500 0.500
0.000 0.000 0.000
```

Density of states at the Fermi level   4.04 states/eV per cell
DFT formation energy   -0.240 eV/atom
Size of the total moment   0.000 μB per cell
Electronic total energy   -6.44 eV per atom

***

No. 3
Below is a geometry-optimized UCuSnRu structure, with properties calculated at the PBE-GGA level.

```
UCuSnRu
1.0
-1.719 2.416 3.665
0.444 -1.712 4.370
2.942 2.063 3.052
Ru U Sn Cu
1 1 1 1
direct
0.250 0.250 0.250
0.000 0.000 0.000
0.500 0.500 0.500
0.750 0.750 0.750
```

Density of states at the Fermi level   6.20 states/eV per cell
DFT formation energy   -0.008 eV/atom
Size of the total moment   1.707 μB per cell
Electronic total energy   -7.17 eV per atom

***

No. 4
Below is a geometry-optimized ZnCuSnRu2 structure, with properties calculated at the PBE-GGA level.

```
ZnCuSnRu2
1.0
4.596 0.000 0.000
0.000 4.254 0.000
0.000 0.000 4.596
Ru Zn Sn Cu
2 1 1 1
direct
0.000 0.000 0.500
0.500 0.000 0.000
0.000 0.000 0.000
0.500 0.500 0.500
0.000 0.500 0.000
```

Density of states at the Fermi level   6.60 states/eV per cell
DFT formation energy   0.927 eV/atom
Size of the total moment   0.520 μB per cell
Electronic total energy   -4.66 eV per atom

***

No. 5
Below is a geometry-optimized Sr2CuRu structure, with properties calculated at the PBE-GGA level.

```
Sr2CuRu
1.0
-3.164 -0.602 2.873
1.184 -4.472 0.367
4.047 -0.984 4.250
Cu Ru Sr
1 1 2
direct
0.000 0.676 0.523
0.500 0.577 0.721
0.000 0.982 0.912
0.500 0.265 0.344
```

Density of states at the Fermi level   3.14 states/eV per cell
DFT formation energy   0.183 eV/atom
Size of the total moment   0.000 μB per cell
Electronic total energy   -4.00 eV per atom

***

No. 6
Below is a geometry-optimized SrCu2Ru structure, with properties calculated at the PBE-GGA level.

```
SrCu2Ru
1.0
-3.894 1.243 -2.041
-2.275 -3.123 2.439
-0.532 2.250 2.385
Cu Ru Sr
2 1 1
direct
0.000 0.000 0.000
0.500 0.500 0.000
0.500 0.000 0.500
0.000 0.500 0.500
```

Density of states at the Fermi level   2.00 states/eV per cell
DFT formation energy   0.485 eV/atom
Size of the total moment   0.000 μB per cell
ΔE to the lowest computed polymorph   330 meV/atom
Electronic total energy   -4.30 eV per atom

***

Question: What is the formula in the sixth record?
Answer: SrCu2Ru

***

Question: Which of these has the highest DFT formation energy?
Answer: ZnCuSnRu2

***

Question: The highest electronic total energy belongs to which entry?
Answer: Sr2CuRu

***

Question: Look up the density of states at the Fermi level of the fourth one.
Answer: 6.60 states/eV per cell